Entry 1:
The following is a PBE calculation of a geometry-optimized TlPbCl structure, from Alexandria via LeMat-Bulk.

DOS(E_F): 2.74 states/eV per cell
SG: Amm2, No. 38
Energy above the most stable polymorph in this dataset: 0.00 eV per formula unit
Crystal system: orthorhombic
Total magnetization: 0.000 μB/cell
Uncorrected formation energy: -432 meV/atom

a = 4.0130 Å, b = 3.6721 Å, c = 15.1379 Å
α = 90.00°, β = 90.00°, γ = 123.12°
Fractional coordinates of all 6 atoms:
Pb1 0.3783 0.7565 0.5000
Pb2 0.5018 0.0036 0.0000
Tl1 0.7644 0.5289 0.3184
Tl2 0.7644 0.5289 0.6816
Cl1 0.1288 0.2577 0.8681
Cl2 0.1288 0.2577 0.1319



Entry 2:
The following is a PBE calculation of a geometry-optimized SbAsPdI2 structure, from Alexandria via LeMat-Bulk.

DOS(E_F): 4.52 states/eV per cell
SG: P4/mmm, No. 123
Energy above the most stable polymorph in this dataset: 0.00 eV per formula unit
Crystal system: tetragonal
Total magnetization: 0.000 μB/cell
Uncorrected formation energy: 528 meV/atom

a = 5.3728 Å, b = 5.3728 Å, c = 5.2846 Å
α = 90.00°, β = 90.00°, γ = 90.00°
Fractional coordinates of all 5 atoms:
Pd1 0.0000 0.0000 0.0000
As1 0.5000 0.5000 0.5000
I1 0.0000 0.5000 0.0000
I2 0.5000 0.0000 0.0000
Sb1 0.0000 0.0000 0.5000



Entry 3:
The following is a PBE calculation of a geometry-optimized Te7IrBr7 structure, from Alexandria via LeMat-Bulk.

SG: P-1, No. 2
Crystal system: triclinic
Total magnetization: 0.000 μB/cell
Uncorrected formation energy: -301 meV/atom

a = 10.6547 Å, b = 10.9553 Å, c = 11.6627 Å
α = 94.31°, β = 109.91°, γ = 114.17°
Fractional coordinates of all 30 atoms:
Br1 0.2129 0.0062 0.6939
Br2 0.7382 0.2497 0.0576
Br3 0.1137 0.5337 0.2898
Br4 0.7871 0.9938 0.3061
Br5 0.4324 0.1677 0.4503
Br6 0.4578 0.6985 0.7896
Br7 0.8863 0.4663 0.7102
Br8 0.6047 0.4597 0.8339
Br9 0.5422 0.3015 0.2104
Br10 0.1921 0.3140 0.5055
Br11 0.8079 0.6860 0.4945
Br12 0.3953 0.5403 0.1661
Br13 0.2618 0.7503 0.9424
Br14 0.5676 0.8323 0.5497
Te1 0.3743 0.3452 0.3052
Te2 0.8078 0.7625 0.1546
Te3 0.0987 0.9888 0.3047
Te4 0.0270 0.7342 0.7216
Te5 0.8147 0.9620 0.9884
Te6 0.0711 0.3303 0.9980
Te7 0.2230 0.8578 0.1881
Te8 0.1922 0.2375 0.8454
Te9 0.9013 0.0112 0.6953
Te10 0.9289 0.6697 0.0020
Te11 0.7770 0.1422 0.8119
Te12 0.9730 0.2658 0.2784
Te13 0.6257 0.6548 0.6948
Te14 0.1853 0.0380 0.0116
Ir1 0.0917 0.1616 0.1517
Ir2 0.9083 0.8384 0.8483



Entry 4:
The following is a PBE calculation of a geometry-optimized GdCuPdPb structure, from Alexandria via LeMat-Bulk.

DOS(E_F): 2.39 states/eV per cell
SG: F-43m, No. 216
Energy of formation from the pure elements: -0.440 eV/atom
Crystal system: cubic
Total magnetization: 7.186 μB/cell

a = 4.8689 Å, b = 4.8689 Å, c = 4.8689 Å
α = 60.00°, β = 60.00°, γ = 60.00°
Site moments in Bohr magnetons follow the coordinates.
Fractional coordinates of all 4 atoms:
Cu1 0.2500 0.2500 0.2500  0.01
Pd1 0.7500 0.7500 0.7500  0.02
Pb1 0.5000 0.5000 0.5000  0.00
Gd1 0.0000 0.0000 0.0000  7.03



Entry 5:
The following is a PBE calculation of a geometry-optimized NaSr2Li16 structure, from Alexandria via LeMat-Bulk.

DOS(E_F): 11.83 states/eV per cell
SG: R3m, No. 160
Energy of formation from the pure elements: 0.021 eV/atom
Crystal system: trigonal
Total magnetization: 0.000 μB/cell

a = 7.8636 Å, b = 7.8636 Å, c = 7.8636 Å
α = 82.81°, β = 82.81°, γ = 82.81°
Fractional coordinates of all 19 atoms:
Li1 0.7046 0.0012 0.2974
Li2 0.2974 0.0012 0.7046
Li3 0.0996 0.0996 0.0996
Li4 0.8537 0.3443 0.3443
Li5 0.1534 0.6516 0.6516
Li6 0.3443 0.3443 0.8537
Li7 0.6516 0.1534 0.6516
Li8 0.0040 0.0040 0.4901
Li9 0.0040 0.4901 0.0040
Li10 0.0012 0.7046 0.2974
Li11 0.4901 0.0040 0.0040
Li12 0.3443 0.8537 0.3443
Li13 0.0012 0.2974 0.7046
Li14 0.7046 0.2974 0.0012
Li15 0.6516 0.6516 0.1534
Li16 0.2974 0.7046 0.0012
Sr1 0.6510 0.6510 0.6510
Sr2 0.3432 0.3432 0.3432
Na1 0.9028 0.9028 0.9028



Entry 6:
The following is a PBE calculation of a geometry-optimized AcPm2Tl3S6 structure, from Alexandria via LeMat-Bulk.

DOS(E_F): 0.00 states/eV per cell
SG: C2/m, No. 12
Crystal system: monoclinic
Total magnetization: 0.000 μB/cell
Uncorrected formation energy: -1472 meV/atom

a = 7.3526 Å, b = 7.3526 Å, c = 7.8683 Å
α = 98.96°, β = 98.96°, γ = 119.95°
Fractional coordinates of all 12 atoms:
S1 0.5843 0.9312 0.7938
S2 0.4157 0.0688 0.2062
S3 0.7211 0.7211 0.2034
S4 0.9312 0.5843 0.7938
S5 0.0688 0.4157 0.2062
S6 0.2789 0.2789 0.7966
Tl1 0.5000 0.5000 0.5000
Tl2 0.1667 0.8333 0.5000
Tl3 0.8333 0.1667 0.5000
Pm1 0.3336 0.6664 0.0000
Pm2 0.6664 0.3336 0.0000
Ac1 0.0000 0.0000 0.0000



Entry 7:
The following is a PBE calculation of a geometry-optimized TiO8 structure, from Alexandria via LeMat-Bulk.

DOS(E_F): 0.19 states/eV per cell
SG: C2/m, No. 12
Crystal system: monoclinic
Total magnetization: 4.003 μB/cell
Uncorrected formation energy: 26 meV/atom

a = 2.7472 Å, b = 8.0027 Å, c = 7.3616 Å
α = 88.56°, β = 79.25°, γ = 80.12°
Site moments in Bohr magnetons follow the coordinates.
Fractional coordinates of all 9 atoms:
Ti1 0.0000 0.0000 0.0000  -0.30
O1 0.4030 0.1923 0.0017  0.90
O2 0.6265 0.2917 0.4552  0.01
O3 0.3735 0.7083 0.5448  0.01
O4 0.0794 0.2922 0.5490  0.01
O5 0.3959 0.9998 0.2085  0.88
O6 0.9206 0.7078 0.4510  0.01
O7 0.6041 0.0002 0.7915  0.88
O8 0.5970 0.8077 0.9983  0.90



Entry 8:
The following is a PBE calculation of a geometry-optimized AcTl2Cu structure, from Alexandria via LeMat-Bulk.

DOS(E_F): 2.48 states/eV per cell
SG: R-3m, No. 166
Energy of formation from the pure elements: -0.124 eV/atom
Energy above the most stable polymorph in this dataset: 0.00 eV per formula unit
Crystal system: trigonal
Total magnetization: 0.000 μB/cell

a = 4.6892 Å, b = 4.6892 Å, c = 6.4799 Å
α = 68.79°, β = 68.79°, γ = 60.00°
Fractional coordinates of all 4 atoms:
Tl1 0.7831 0.7831 0.6508
Tl2 0.2169 0.2169 0.3492
Cu1 0.5000 0.5000 0.5000
Ac1 0.0000 0.0000 0.0000



Entry 9:
The following is a PBE calculation of a geometry-optimized Tm5Cd4Sn structure, from Alexandria via LeMat-Bulk.

DOS(E_F): 6.62 states/eV per cell
SG: P4/mmm, No. 123
Energy of formation from the pure elements: -0.364 eV/atom
Crystal system: tetragonal
Total magnetization: 0.000 μB/cell

a = 3.7160 Å, b = 3.7160 Å, c = 18.3464 Å
α = 90.00°, β = 90.00°, γ = 90.00°
Fractional coordinates of all 10 atoms:
Tm1 0.5000 0.5000 0.3004
Tm2 0.5000 0.5000 0.1008
Tm3 0.5000 0.5000 0.6996
Tm4 0.5000 0.5000 0.5000
Tm5 0.5000 0.5000 0.8992
Cd1 0.0000 0.0000 0.6004
Cd2 0.0000 0.0000 0.3996
Cd3 0.0000 0.0000 0.2038
Cd4 0.0000 0.0000 0.7962
Sn1 0.0000 0.0000 0.0000



Entry 10:
The following is a PBE calculation of a geometry-optimized BaCd3In3 structure, from Alexandria via LeMat-Bulk.

DOS(E_F): 5.52 states/eV per cell
SG: P2_1/m, No. 11
Energy of formation from the pure elements: -0.232 eV/atom
Energy above the most stable polymorph in this dataset: 0.00 eV per formula unit
Crystal system: monoclinic
Total magnetization: 0.000 μB/cell

a = 5.1759 Å, b = 7.6953 Å, c = 10.6655 Å
α = 112.80°, β = 90.00°, γ = 90.00°
Fractional coordinates of all 14 atoms:
In1 0.7500 0.3630 0.3595
In2 0.7500 0.7605 0.0869
In3 0.2500 0.0828 0.1466
In4 0.2500 0.2395 0.9131
In5 0.7500 0.9172 0.8534
In6 0.2500 0.6370 0.6405
Cd1 0.7500 0.7675 0.5494
Cd2 0.7500 0.3241 0.0706
Cd3 0.7500 0.9927 0.3857
Cd4 0.2500 0.0073 0.6143
Cd5 0.2500 0.2325 0.4506
Cd6 0.2500 0.6759 0.9294
Ba1 0.2500 0.6337 0.2729
Ba2 0.7500 0.3663 0.7271



Entry 11:
The following is a PBE calculation of a geometry-optimized BaCdSn2S6 structure, from Alexandria via LeMat-Bulk.

SG: C2/c, No. 15
Crystal system: monoclinic
Total magnetization: 0.000 μB/cell
Uncorrected formation energy: -712 meV/atom

a = 7.8223 Å, b = 9.4331 Å, c = 9.4331 Å
α = 78.30°, β = 69.51°, γ = 69.51°
Fractional coordinates of all 20 atoms:
S1 0.0733 0.6130 0.0930
S2 0.0986 0.6990 0.5766
S3 0.5986 0.5766 0.6990
S4 0.5733 0.0930 0.6130
S5 0.8463 0.0519 0.1591
S6 0.9267 0.3870 0.9070
S7 0.4267 0.9070 0.3870
S8 0.6537 0.8409 0.9481
S9 0.4014 0.4234 0.3010
S10 0.1537 0.9481 0.8409
S11 0.9014 0.3010 0.4234
S12 0.3463 0.1591 0.0519
Cd1 0.2500 0.1998 0.8002
Cd2 0.7500 0.8002 0.1998
Sn1 0.8318 0.6389 0.7849
Sn2 0.1682 0.3611 0.2151
Sn3 0.6682 0.2151 0.3611
Sn4 0.3318 0.7849 0.6389
Ba1 0.2500 0.8280 0.1720
Ba2 0.7500 0.1720 0.8280



Entry 12:
The following is a PBE calculation of a geometry-optimized ErTl2 structure, from Alexandria via LeMat-Bulk.

DOS(E_F): 3.47 states/eV per cell
SG: P6_3/mmc, No. 194
Energy of formation from the pure elements: -0.155 eV/atom
Crystal system: hexagonal
Total magnetization: 0.000 μB/cell

a = 5.3951 Å, b = 5.3951 Å, c = 6.5064 Å
α = 90.00°, β = 90.00°, γ = 120.00°
Fractional coordinates of all 6 atoms:
Er1 0.3333 0.6667 0.7500
Er2 0.6667 0.3333 0.2500
Tl1 0.0000 0.0000 0.5000
Tl2 0.3333 0.6667 0.2500
Tl3 0.0000 0.0000 0.0000
Tl4 0.6667 0.3333 0.7500



| no. | volume (Å³/atom) |
| --- | --- |
| 1 | 31.14 |
| 2 | 30.51 |
| 3 | 37.68 |
| 4 | 20.40 |
| 5 | 25.04 |
| 6 | 29.19 |
| 7 | 17.40 |
| 8 | 28.03 |
| 9 | 25.33 |
| 10 | 27.97 |
| 11 | 30.41 |
| 12 | 27.34 |